DFT (PBE-GGA) results for crystalline Rb2HoAs2O6 at its relaxed geometry.

As for the uncorrected formation energy: -1.924 eV/atom. The total energy is -6.066 eV per atom. The value obtained for the density of states at the Fermi level is 0.150 states/eV per atom.

It has space group C2/m (No. 12), with a = 10.203 Å, b = 6.019 Å, c = 7.348 Å, α = 90.00°, β = 115.71° and γ = 90.00°. The asymmetric unit holds Rb at (0.216, 0.000, 0.185), Ho at (0.000, 0.000, 0.500), As at (0.071, 0.500, 0.222), O at (0.013, 0.265, 0.728) and O at (0.243, 0.000, 0.608).